The following is a SCAN calculation of a PBEsol-optimized structure of YTeO2F, from the Alexandria database.

Calculated values
* space group: P4/mmm
* total energy: -86.89 eV per cell
* crystal system: tetragonal
* spin magnetization: 0.98 Bohr magnetons per cell
* formation energy (no corrections): -1159 meV per atom

Cell: 4.1918 4.1918 4.7575 Å, 90.00 90.00 90.00°
Last column: nearest neighbours and their distance in Å.
Fractional positions:
1 Y 0.5000 0.5000 0.5000  4 F 2.96, 8 O 3.17
2 Te 0.0000 0.0000 0.0000  4 O 2.10
3 O 0.0000 0.5000 0.0000  2 Te 2.10
4 O 0.5000 0.0000 0.0000  2 Te 2.10
5 F 0.0000 0.0000 0.5000  2 Te 2.38